# La3Te2O2, optimized geometry, DFT PBE
# N(E_F)	3.51	states/eV/f.u.
# formation energy (no corrections)	-2.518	eV per atom
data_La3Te2O2
_chemical_formula_sum 'La3 Te2 O2'
_cell_length_a 4.171
_cell_length_b 8.050
_cell_length_c 7.245
_cell_angle_alpha 127.23
_cell_angle_beta 106.73
_cell_angle_gamma 90.00
_space_group_name_H-M_alt 'P 1'
_space_group_IT_number 1
loop_
_space_group_symop_operation_xyz
'x,y,z'
loop_
_atom_site_label
_atom_site_type_symbol
_atom_site_fract_x
_atom_site_fract_y
_atom_site_fract_z
La1 La 0.000 0.000 0.000
La2 La 0.808 0.380 0.616
La3 La 0.192 0.620 0.384
Te1 Te 0.574 0.793 0.149
Te2 Te 0.426 0.207 0.851
O1 O 0.793 0.662 0.586
O2 O 0.207 0.338 0.414